The following is a PBE-GGA calculation of a relaxed TmPa3Se6 crystal, from Alexandria.

Calculated values
Calculated total energy, eV for the cell shown: -134.4
Magnetization, μB per atom: 0.3725
ΔE_f (raw), meV per atom: -1332

Lattice parameters (Å, degrees): 8.7916 8.7916 6.9603 90.00 90.00 100.80
Sites, in units of the cell vectors:
Tm 0.1632 0.8368 0.5000
Tm 0.8368 0.1632 0.0000
Pa 0.0768 0.2723 0.4900
Pa 0.2723 0.0768 0.9900
Pa 0.4048 0.5952 0.8749
Pa 0.5952 0.4048 0.3749
Pa 0.7277 0.9232 0.4900
Pa 0.9232 0.7277 0.9900
Se 0.0021 0.9979 0.7436
Se 0.0940 0.5635 0.7044
Se 0.2391 0.7609 0.1385
Se 0.2968 0.3758 0.1815
Se 0.3758 0.2968 0.6815
Se 0.4365 0.9060 0.7044
Se 0.5635 0.0940 0.2044
Se 0.6242 0.7032 0.1815
Se 0.7032 0.6242 0.6815
Se 0.7609 0.2391 0.6385
Se 0.9060 0.4365 0.2044
Se 0.9979 0.0021 0.2436

***

The following is a PBE-GGA calculation of a relaxed CeY3Sb4 crystal, from Alexandria.

Calculated values
Calculated total energy, eV for the cell shown: -101.8
Magnetization, μB per atom: 0.0895
ΔE_f (raw), meV per atom: -1135

Lattice parameters (Å, degrees): 8.8402 12.4869 4.4186 90.00 90.00 90.00
Sites, in units of the cell vectors:
Ce 0.0000 0.0000 0.0000
Ce 0.5000 0.5000 0.0000
Y 0.0000 0.5000 0.0000
Y 0.2500 0.2500 0.5000
Y 0.2500 0.7500 0.5000
Y 0.5000 0.0000 0.0000
Y 0.7500 0.2500 0.5000
Y 0.7500 0.7500 0.5000
Sb 0.0000 0.2514 0.0000
Sb 0.0000 0.7486 0.0000
Sb 0.2464 0.5000 0.5000
Sb 0.2536 0.0000 0.5000
Sb 0.5000 0.2486 0.0000
Sb 0.5000 0.7514 0.0000
Sb 0.7464 0.0000 0.5000
Sb 0.7536 0.5000 0.5000

***

The following is a PBE-GGA calculation of a relaxed Zr2TaRu crystal, from Alexandria.

Calculated values
Calculated total energy, eV for the cell shown: -148.4
Magnetization, μB per atom: 0.0000

Lattice parameters (Å, degrees): 7.5691 7.5691 5.6663 90.00 90.00 90.00
Sites, in units of the cell vectors:
Zr 0.2164 0.2500 0.1250
Zr 0.2500 0.7164 0.3750
Zr 0.2500 0.7836 0.8750
Zr 0.2836 0.2500 0.6250
Zr 0.7164 0.7500 0.6250
Zr 0.7500 0.2164 0.8750
Zr 0.7500 0.2836 0.3750
Zr 0.7836 0.7500 0.1250
Ta 0.0000 0.0000 0.5000
Ta 0.0000 0.5000 0.7500
Ta 0.5000 0.0000 0.2500
Ta 0.5000 0.5000 0.0000
Ru 0.0000 0.0000 0.0000
Ru 0.0000 0.5000 0.2500
Ru 0.5000 0.0000 0.7500
Ru 0.5000 0.5000 0.5000

***

The following is a PBE-GGA calculation of a relaxed Tl2CuP crystal, from Alexandria.

Calculated values
Calculated total energy, eV for the cell shown: -12.4
Magnetization, μB per atom: 0.0000

Lattice parameters (Å, degrees): 3.8574 4.0132 5.9235 90.00 90.00 90.00
Sites, in units of the cell vectors:
Tl 0.0000 0.0000 0.0000
Tl 0.0000 0.5000 0.5000
Cu 0.5000 0.0000 0.5000
P 0.5000 0.5000 0.0000

***

The following is a PBE-GGA calculation of a relaxed BaCaRe2 crystal, from Alexandria.

Calculated values
Calculated total energy, eV for the cell shown: -51.7
Magnetization, μB per atom: 0.0000

Lattice parameters (Å, degrees): 10.9003 3.8691 6.8393 90.00 117.99 90.00
Sites, in units of the cell vectors:
Ba 0.0000 0.0000 0.0000
Ba 0.5000 0.5000 0.0000
Ca 0.0000 0.5000 0.5000
Ca 0.5000 0.0000 0.5000
Re 0.2441 0.5000 0.3945
Re 0.2559 0.0000 0.6055
Re 0.7441 0.0000 0.3945
Re 0.7559 0.5000 0.6055

***

The following is a PBE-GGA calculation of a relaxed LaBe4Tl crystal, from Alexandria.

Calculated values
Calculated total energy, eV for the cell shown: -19.6
Magnetization, μB per atom: 0.0000

Lattice parameters (Å, degrees): 5.2483 5.2483 5.2483 60.00 60.00 60.00
Sites, in units of the cell vectors:
La 0.0000 0.0000 0.0000
Be 0.3570 0.3570 0.3570
Be 0.3570 0.3570 0.9289
Be 0.3570 0.9289 0.3570
Be 0.9289 0.3570 0.3570
Tl 0.7500 0.7500 0.7500

***

The following is a PBE-GGA calculation of a relaxed Ti4Ga3Pd crystal, from Alexandria.

Calculated values
Calculated total energy, eV for the cell shown: -95.6
Magnetization, μB per atom: 0.0000

Lattice parameters (Å, degrees): 2.8487 3.9780 24.1762 90.00 90.00 90.00
Sites, in units of the cell vectors:
Ti 0.0000 0.0000 0.1015
Ti 0.0000 0.0000 0.2185
Ti 0.0000 0.0000 0.7815
Ti 0.0000 0.0000 0.8985
Ti 0.5000 0.5000 0.2815
Ti 0.5000 0.5000 0.3985
Ti 0.5000 0.5000 0.6015
Ti 0.5000 0.5000 0.7185
Ga 0.0000 0.0000 0.3386
Ga 0.0000 0.0000 0.6614
Ga 0.0000 0.5000 0.0000
Ga 0.5000 0.0000 0.5000
Ga 0.5000 0.5000 0.1614
Ga 0.5000 0.5000 0.8386
Pd 0.0000 0.5000 0.5000
Pd 0.5000 0.0000 0.0000

***

The following is a PBE-GGA calculation of a relaxed LaSm3Th crystal, from Alexandria.

Calculated values
Calculated total energy, eV for the cell shown: -51.4
Magnetization, μB per atom: 0.0000

Lattice parameters (Å, degrees): 6.3365 6.3365 11.1769 90.00 90.00 128.94
Sites, in units of the cell vectors:
La 0.1583 0.8417 0.0000
La 0.8417 0.1583 0.0000
Sm 0.1513 0.8487 0.3094
Sm 0.1513 0.8487 0.6906
Sm 0.5000 0.5000 0.1753
Sm 0.5000 0.5000 0.8247
Sm 0.8487 0.1513 0.3094
Sm 0.8487 0.1513 0.6906
Th 0.3643 0.6357 0.5000
Th 0.6357 0.3643 0.5000

***

The following is a PBE-GGA calculation of a relaxed Sc2PRu crystal, from Alexandria.

Calculated values
Calculated total energy, eV for the cell shown: -89.1
Magnetization, μB per atom: 0.0000

Lattice parameters (Å, degrees): 4.0188 4.0188 17.5329 90.00 90.00 120.00
Sites, in units of the cell vectors:
Sc 0.0000 0.0000 0.0000
Sc 0.0000 0.0000 0.1784
Sc 0.3333 0.6667 0.6667
Sc 0.3333 0.6667 0.8451
Sc 0.6667 0.3333 0.3333
Sc 0.6667 0.3333 0.5117
P 0.0000 0.0000 0.7464
P 0.3333 0.6667 0.4130
P 0.6667 0.3333 0.0797
Ru 0.0000 0.0000 0.4360
Ru 0.3333 0.6667 0.1027
Ru 0.6667 0.3333 0.7694

***

The following is a PBE-GGA calculation of a relaxed SrCa3 crystal, from Alexandria.

Calculated values
Calculated total energy, eV for the cell shown: -30.5
Magnetization, μB per atom: 0.0000

Lattice parameters (Å, degrees): 7.9559 7.9559 13.1493 90.00 90.00 120.00
Sites, in units of the cell vectors:
Sr 0.0000 0.0000 0.0000
Sr 0.0000 0.0000 0.5000
Sr 0.3333 0.6667 0.2500
Sr 0.6667 0.3333 0.7500
Ca 0.0000 0.5000 0.0000
Ca 0.0000 0.5000 0.5000
Ca 0.1686 0.3372 0.7500
Ca 0.1686 0.8314 0.7500
Ca 0.3372 0.1686 0.2500
Ca 0.5000 0.0000 0.0000
Ca 0.5000 0.0000 0.5000
Ca 0.5000 0.5000 0.0000
Ca 0.5000 0.5000 0.5000
Ca 0.6628 0.8314 0.7500
Ca 0.8314 0.1686 0.2500
Ca 0.8314 0.6628 0.2500

***

The following is a PBE-GGA calculation of a relaxed InIBrO2 crystal, from Alexandria.

Calculated values
Calculated total energy, eV for the cell shown: -16.7
Magnetization, μB per atom: 0.1999
ΔE_f (raw), meV per atom: -155

Lattice parameters (Å, degrees): 4.1724 4.1724 7.0940 90.00 90.00 90.00
Sites, in units of the cell vectors:
In 0.0000 0.0000 0.0000
I 0.0000 0.0000 0.5000
Br 0.5000 0.5000 0.5000
O 0.0000 0.5000 0.0000
O 0.5000 0.0000 0.0000

***

The following is a PBE-GGA calculation of a relaxed Zn3SiNi2 crystal, from Alexandria.

Calculated values
Calculated total energy, eV for the cell shown: -91.3
Magnetization, μB per atom: 0.0000
ΔE_f (raw), meV per atom: -335

Lattice parameters (Å, degrees): 7.5886 7.5886 7.5886 60.00 60.00 60.00
Sites, in units of the cell vectors:
Zn 0.0610 0.0610 0.6890
Zn 0.0610 0.6890 0.0610
Zn 0.0610 0.6890 0.6890
Zn 0.3110 0.3110 0.9390
Zn 0.3110 0.9390 0.3110
Zn 0.3110 0.9390 0.9390
Zn 0.6890 0.0610 0.0610
Zn 0.6890 0.0610 0.6890
Zn 0.6890 0.6890 0.0610
Zn 0.9390 0.3110 0.3110
Zn 0.9390 0.3110 0.9390
Zn 0.9390 0.9390 0.3110
Si 0.0000 0.5000 0.5000
Si 0.5000 0.0000 0.5000
Si 0.5000 0.5000 0.0000
Si 0.5000 0.5000 0.5000
Ni 0.2892 0.2892 0.2892
Ni 0.2892 0.2892 0.6324
Ni 0.2892 0.6324 0.2892
Ni 0.3676 0.7108 0.7108
Ni 0.6324 0.2892 0.2892
Ni 0.7108 0.3676 0.7108
Ni 0.7108 0.7108 0.3676
Ni 0.7108 0.7108 0.7108